Material: AlIn2Au5
Method: DFT, PBE-GGA
State: optimized geometry

Computed properties:
D(E_F) in states/eV/cell: 2.39
Final energy in eV/atom: -3.380
Volume in Å³/atom: 20.30
ρ in g/cm3: 12.7

Cell and atoms, written as POSCAR:
```
AlIn2Au5
1.0
6.3774 1.0144 -2.5213
-3.2646 4.3507 -1.0370
0.1220 -0.6333 5.4927
Al In Au
1 2 5
Cartesian
-2.2960 2.7867 3.3201
0.6902 3.8565 -0.8931
2.6438 0.9891 2.8639
-2.6607 3.4720 0.8125
1.6278 1.1912 0.0698
1.6898 3.4828 1.7824
-0.8462 0.8152 4.2629
5.0122 2.1484 -0.9663
```